[1]
Density functional theory data (PBE-GGA) for As2PtSe after structural relaxation.

Lattice parameters (Å, degrees): 3.9919 4.0074 10.5448 90.00 90.00 90.00
With the nearest neighbours (Å) after each atom.
Space group Cmmm (No. 65)
One atom of each set of equivalent atoms:
As 0.0000 0.0000 0.1806  4 Pt 2.76, 4 As 2.83
Pt 0.0000 0.5000 0.0000  8 As 2.76, 4 Pt 2.83
Se 0.0000 0.5000 0.5000  4 Se 2.83

[2]
Density functional theory data (PBE-GGA) for SiAsPtSe2 after structural relaxation.

The value obtained for the energy above the most stable polymorph in this dataset is 101 meV per atom.

Lattice parameters (Å, degrees): 4.6755 4.6755 4.7644 90.00 90.00 90.00
With the nearest neighbours (Å) after each atom.
Space group P4/mmm (No. 123)
One atom of each set of equivalent atoms:
Si 0.0000 0.0000 0.0000  4 Se 2.34, 2 As 2.38
As 0.0000 0.0000 0.5000  2 Si 2.38
Pt 0.5000 0.5000 0.5000  4 As 3.31, 8 Se 3.34
Se 0.0000 0.5000 0.0000  2 Si 2.34

| no. | uncorrected formation energy (eV/atom) | N(E_F) (states/eV/cell) | ρ (kg/m³) |
| --- | --- | --- | --- |
| 1 | 0.11 | 3.8 | 8345 |
| 2 | 0.79 | 5.2 | 7270 |